Entry 1:
This record from Alexandria describes a relaxed Ca3SmZn4 crystal. The functional is PBE.

Cell and atoms, written as extended XYZ:
```
8
Lattice="3.6746 0.0000 0.0000 0.0000 3.6746 0.0000 0.0000 0.0000 14.6365" Properties=species:S:1:pos:R:3 pbc="T T T"
Ca 1.8373 1.8373 3.6473
Ca 1.8373 1.8373 10.9892
Ca 1.8373 1.8373 7.3182
Zn 0.0000 0.0000 12.8872
Zn 0.0000 0.0000 5.4896
Zn 0.0000 0.0000 1.7493
Zn 0.0000 0.0000 9.1469
Sm 1.8373 1.8373 0.0000
```

---

Entry 2:
This record from Alexandria describes a relaxed CaSmZn2 crystal. The functional is PBE.

Cell and atoms, written as extended XYZ:
```
4
Lattice="-4.2228 1.9756 2.2063 -3.5336 -3.1342 2.0721 -0.5731 -0.2118 5.1215" Properties=species:S:1:pos:R:3 pbc="T T T"
Zn -6.2471 -1.0278 7.0500
Zn -2.0824 -0.3426 2.3500
Ca -4.1648 -0.6852 4.7000
Sm 0.0000 0.0000 0.0000
```

Polymorph energy (0 for the lowest one) in eV per atom: 0.000

---

Entry 3:
This record from Alexandria describes a relaxed CaSmZn3 crystal. The functional is PBE.

Cell and atoms, written as extended XYZ:
```
10
Lattice="3.7268 0.0000 -0.5131 0.0000 4.4877 0.0000 0.0171 0.0000 13.9145" Properties=species:S:1:pos:R:3 pbc="T T T"
Sm 0.2652 1.1219 1.9263
Sm 3.4787 3.3658 11.4751
Zn 1.7940 1.1219 13.0300
Zn 2.3003 3.3658 2.9164
Zn 1.2540 3.3658 9.1073
Zn 2.4899 1.1219 4.2940
Zn 1.4436 1.1219 10.4849
Zn 1.9499 3.3658 0.3714
Ca 2.9665 1.1219 7.7549
Ca 0.7774 3.3658 5.6464
```

---

Entry 4:
This record from Alexandria describes a relaxed Ca3SmZn8 crystal. The functional is PBE.

Cell and atoms, written as extended XYZ:
```
12
Lattice="-1.8668 -4.8004 2.2688 3.5641 -0.1443 -4.3535 6.8154 -0.0131 5.5801" Properties=species:S:1:pos:R:3 pbc="T T T"
Ca 2.9639 -3.2542 2.5343
Ca 6.4138 -0.0123 5.2513
Ca 0.3372 -3.2491 0.3837
Zn 5.9584 -2.4774 3.1299
Zn 6.8861 -0.0919 2.0025
Zn 1.7656 -1.6964 -2.1364
Zn 4.3687 -0.9243 -1.8482
Zn 2.5883 -0.8523 0.3265
Zn 3.4362 -3.3223 -0.7149
Zn 7.7295 -2.5491 0.9665
Zn 5.1665 -1.7029 0.6481
Sm 3.7885 -0.0073 3.1018
```

Polymorph energy (0 for the lowest one) in eV per atom: 0.000

---

Entry 5:
This record from Alexandria describes a relaxed Ca4SmZn5 crystal. The functional is PBE.

Cell and atoms, written as extended XYZ:
```
10
Lattice="3.6699 0.0000 0.0000 0.0000 3.6699 0.0000 0.0000 0.0000 18.3755" Properties=species:S:1:pos:R:3 pbc="T T T"
Zn 1.8350 1.8350 9.1877
Zn 1.8350 1.8350 5.5027
Zn 1.8350 1.8350 1.7626
Zn 1.8350 1.8350 16.6129
Zn 1.8350 1.8350 12.8728
Ca 0.0000 0.0000 14.7187
Ca 0.0000 0.0000 11.0396
Ca 0.0000 0.0000 7.3359
Ca 0.0000 0.0000 3.6568
Sm 0.0000 0.0000 0.0000
```

---

Entry 6:
This record from Alexandria describes a relaxed CaSm2Zn6 crystal. The functional is PBE.

Cell and atoms, written as extended XYZ:
```
9
Lattice="-0.4089 -3.4510 0.8945 5.6004 0.7550 5.4729 -7.5213 1.3717 1.8534" Properties=species:S:1:pos:R:3 pbc="T T T"
Zn -5.2230 -0.8102 1.6839
Zn -1.4862 -0.3065 5.3357
Zn -3.9889 0.1500 5.9524
Zn 2.8932 -0.5140 6.5368
Zn 1.6591 -1.4742 2.2684
Zn -0.8436 -1.0178 2.8851
Sm -3.1474 1.1661 3.0599
Sm 0.8176 -2.4904 5.1609
Ca -7.5213 1.3717 1.8534
```

---

Entry 7:
This record from Alexandria describes a relaxed CaSmZn crystal. The functional is PBE.

Cell and atoms, written as extended XYZ:
```
3
Lattice="-2.7570 0.2545 -2.3583 1.3403 -2.8162 -1.8708 -2.8269 -2.8513 5.8018" Properties=species:S:1:pos:R:3 pbc="T T T"
Sm -2.1338 -2.4940 2.2255
Ca -0.1868 -0.2183 0.1948
Zn -1.9231 -2.7007 -0.8476
```

Polymorph energy (0 for the lowest one) in eV per atom: 0.000

---

Entry 8:
This record from Alexandria describes a relaxed CaSmZn2 crystal. The functional is PBE.

Cell and atoms, written as extended XYZ:
```
4
Lattice="3.6406 0.0000 0.0000 0.0000 5.1765 0.0000 0.0000 0.0000 5.1765" Properties=species:S:1:pos:R:3 pbc="T T T"
Ca 1.8203 0.0000 0.0000
Sm 1.8203 2.5882 2.5882
Zn 0.0000 0.0000 2.5882
Zn 0.0000 2.5882 0.0000
```

Polymorph energy (0 for the lowest one) in eV per atom: 0.002

---

no.,total magnetic moment (μB per cell),energy relative to the elements (eV/atom)
1,0.123,-0.257
2,0.000,-0.297
3,0.000,-0.297
4,0.000,-0.278
5,0.123,-0.253
6,0.000,-0.331
7,0.140,-0.164
8,0.000,-0.294